(1)
# ZnPNF2, relaxed, DFT PBE-GGA
data_ZnPNF2
_chemical_formula_sum 'Zn1 P1 N1 F2'
_cell_length_a 3.702
_cell_length_b 3.702
_cell_length_c 4.999
_cell_angle_alpha 90.00
_cell_angle_beta 90.00
_cell_angle_gamma 90.00
_symmetry_space_group_name_H-M 'P 4/m m m'
_symmetry_Int_Tables_number 123
_symmetry_space_group_name_Hall '-P 4 2'
loop_
_atom_site_label
_atom_site_type_symbol
_atom_site_fract_x
_atom_site_fract_y
_atom_site_fract_z
Zn1 Zn 0.000 0.000 0.000
P1 P 0.500 0.500 0.500
N1 N 0.000 0.000 0.500
F1 F 0.000 0.500 0.000
# - uncorrected formation energy (meV/atom) = 12
# - M_tot (μB per formula unit) = 0.029
# - VASP energy (eV/atom) = -3.738

(2)
# ZnPN2F, relaxed, DFT PBE-GGA
data_ZnPN2F
_chemical_formula_sum 'Zn1 P1 N2 F1'
_cell_length_a 3.507
_cell_length_b 3.507
_cell_length_c 3.851
_cell_angle_alpha 90.00
_cell_angle_beta 90.00
_cell_angle_gamma 90.00
_symmetry_space_group_name_H-M 'P 4/m m m'
_symmetry_Int_Tables_number 123
_symmetry_space_group_name_Hall '-P 4 2'
loop_
_atom_site_label
_atom_site_type_symbol
_atom_site_fract_x
_atom_site_fract_y
_atom_site_fract_z
Zn1 Zn 0.000 0.000 0.000
P1 P 0.500 0.500 0.500
N1 N 0.000 0.500 0.500
F1 F 0.500 0.500 0.000
# - uncorrected formation energy (meV/atom) = 249
# - M_tot (μB per formula unit) = 0.000
# - VASP energy (eV/atom) = -4.792

(3)
# ZnPNF2, relaxed, DFT PBE-GGA
data_ZnPNF2
_chemical_formula_sum 'Zn1 P1 N1 F2'
_cell_length_a 4.468
_cell_length_b 4.468
_cell_length_c 3.240
_cell_angle_alpha 90.00
_cell_angle_beta 90.00
_cell_angle_gamma 90.00
_symmetry_space_group_name_H-M 'P 4/m m m'
_symmetry_Int_Tables_number 123
_symmetry_space_group_name_Hall '-P 4 2'
loop_
_atom_site_label
_atom_site_type_symbol
_atom_site_fract_x
_atom_site_fract_y
_atom_site_fract_z
Zn1 Zn 0.000 0.000 0.000
P1 P 0.500 0.500 0.500
N1 N 0.500 0.500 0.000
F1 F 0.000 0.500 0.500
# - uncorrected formation energy (meV/atom) = -363
# - M_tot (μB per formula unit) = 0.003
# - VASP energy (eV/atom) = -4.114

(4)
# ZnP2NF, relaxed, DFT PBE-GGA
data_ZnP2NF
_chemical_formula_sum 'Zn1 P2 N1 F1'
_cell_length_a 4.408
_cell_length_b 4.408
_cell_length_c 4.091
_cell_angle_alpha 90.00
_cell_angle_beta 90.00
_cell_angle_gamma 90.00
_symmetry_space_group_name_H-M 'P 4/m m m'
_symmetry_Int_Tables_number 123
_symmetry_space_group_name_Hall '-P 4 2'
loop_
_atom_site_label
_atom_site_type_symbol
_atom_site_fract_x
_atom_site_fract_y
_atom_site_fract_z
Zn1 Zn 0.000 0.000 0.000
P1 P 0.000 0.500 0.500
N1 N 0.500 0.500 0.000
F1 F 0.000 0.000 0.500
# - uncorrected formation energy (meV/atom) = 1523
# - M_tot (μB per formula unit) = 0.000
# - VASP energy (eV/atom) = -2.936

(5)
# Zn2PNF, relaxed, DFT PBE-GGA
data_Zn2PNF
_chemical_formula_sum 'Zn2 P1 N1 F1'
_cell_length_a 4.603
_cell_length_b 4.603
_cell_length_c 3.711
_cell_angle_alpha 90.00
_cell_angle_beta 90.00
_cell_angle_gamma 90.00
_symmetry_space_group_name_H-M 'P 4/m m m'
_symmetry_Int_Tables_number 123
_symmetry_space_group_name_Hall '-P 4 2'
loop_
_atom_site_label
_atom_site_type_symbol
_atom_site_fract_x
_atom_site_fract_y
_atom_site_fract_z
Zn1 Zn 0.000 0.500 0.000
P1 P 0.000 0.000 0.000
N1 N 0.500 0.500 0.500
F1 F 0.000 0.000 0.500
# - uncorrected formation energy (meV/atom) = 560
# - M_tot (μB per formula unit) = 1.097
# - VASP energy (eV/atom) = -3.071

(6)
# ZnPN2F, relaxed, DFT PBE-GGA
data_ZnPN2F
_chemical_formula_sum 'Zn1 P1 N2 F1'
_cell_length_a 3.988
_cell_length_b 3.988
_cell_length_c 3.808
_cell_angle_alpha 90.00
_cell_angle_beta 90.00
_cell_angle_gamma 90.00
_symmetry_space_group_name_H-M 'P 4/m m m'
_symmetry_Int_Tables_number 123
_symmetry_space_group_name_Hall '-P 4 2'
loop_
_atom_site_label
_atom_site_type_symbol
_atom_site_fract_x
_atom_site_fract_y
_atom_site_fract_z
Zn1 Zn 0.000 0.000 0.000
P1 P 0.500 0.500 0.500
N1 N 0.000 0.500 0.000
F1 F 0.000 0.000 0.500
# - uncorrected formation energy (meV/atom) = 1170
# - M_tot (μB per formula unit) = 1.336
# - VASP energy (eV/atom) = -3.871

(7)
# ZrPN2F, relaxed, DFT PBE-GGA
data_ZrPN2F
_chemical_formula_sum 'Zr1 P1 N2 F1'
_cell_length_a 3.760
_cell_length_b 3.760
_cell_length_c 3.755
_cell_angle_alpha 90.00
_cell_angle_beta 90.00
_cell_angle_gamma 90.00
_symmetry_space_group_name_H-M 'P 4/m m m'
_symmetry_Int_Tables_number 123
_symmetry_space_group_name_Hall '-P 4 2'
loop_
_atom_site_label
_atom_site_type_symbol
_atom_site_fract_x
_atom_site_fract_y
_atom_site_fract_z
Zr1 Zr 0.000 0.000 0.000
P1 P 0.500 0.500 0.500
N1 N 0.000 0.500 0.500
F1 F 0.500 0.500 0.000
# - uncorrected formation energy (meV/atom) = -191
# - M_tot (μB per formula unit) = 0.000
# - VASP energy (eV/atom) = -6.687

(8)
# ZrPN2F, relaxed, DFT PBE-GGA
data_ZrPN2F
_chemical_formula_sum 'Zr1 P1 N2 F1'
_cell_length_a 4.307
_cell_length_b 4.307
_cell_length_c 4.035
_cell_angle_alpha 90.00
_cell_angle_beta 90.00
_cell_angle_gamma 90.00
_symmetry_space_group_name_H-M 'P 4/m m m'
_symmetry_Int_Tables_number 123
_symmetry_space_group_name_Hall '-P 4 2'
loop_
_atom_site_label
_atom_site_type_symbol
_atom_site_fract_x
_atom_site_fract_y
_atom_site_fract_z
Zr1 Zr 0.000 0.000 0.000
P1 P 0.500 0.500 0.500
N1 N 0.000 0.500 0.000
F1 F 0.000 0.000 0.500
# - uncorrected formation energy (meV/atom) = -25
# - M_tot (μB per formula unit) = 0.000
# - VASP energy (eV/atom) = -6.521

(9)
# Pa2NF, relaxed, DFT PBE-GGA
data_Pa2NF
_chemical_formula_sum 'Pa6 N3 F3'
_cell_length_a 3.2456
_cell_length_b 3.2456
_cell_length_c 21.1208
_cell_angle_alpha 90.00
_cell_angle_beta 90.00
_cell_angle_gamma 120.00
_symmetry_space_group_name_H-M 'R -3 m'
_symmetry_Int_Tables_number 166
_symmetry_space_group_name_Hall '-R 3 2"'
loop_
_atom_site_label
_atom_site_type_symbol
_atom_site_fract_x
_atom_site_fract_y
_atom_site_fract_z
Pa1 Pa 0.0000 0.0000 0.2383
N1 N 0.0000 0.0000 0.5000
F1 F 0.0000 0.0000 0.0000
# - uncorrected formation energy (meV/atom) = -1707
# - M_tot (μB per formula unit) = 0.000
# - VASP energy (eV/atom) = -9.004

(10)
# Pa2NF, relaxed, DFT PBE-GGA
data_Pa2NF
_chemical_formula_sum 'Pa2 N1 F1'
_cell_length_a 3.026
_cell_length_b 3.026
_cell_length_c 6.989
_cell_angle_alpha 90.00
_cell_angle_beta 90.00
_cell_angle_gamma 90.00
_symmetry_space_group_name_H-M 'P 4/m m m'
_symmetry_Int_Tables_number 123
_symmetry_space_group_name_Hall '-P 4 2'
loop_
_atom_site_label
_atom_site_type_symbol
_atom_site_fract_x
_atom_site_fract_y
_atom_site_fract_z
Pa1 Pa 0.000 0.000 0.210
N1 N 0.500 0.500 0.000
F1 F 0.500 0.500 0.500
# - uncorrected formation energy (meV/atom) = -846
# - M_tot (μB per formula unit) = 1.003
# - VASP energy (eV/atom) = -8.144

(11)
# PaNF, relaxed, DFT PBE-GGA
data_PaNF
_chemical_formula_sum 'Pa4 N4 F4'
_cell_length_a 5.565
_cell_length_b 5.565
_cell_length_c 5.565
_cell_angle_alpha 90.00
_cell_angle_beta 90.00
_cell_angle_gamma 90.00
_symmetry_space_group_name_H-M 'F -4 3 m'
_symmetry_Int_Tables_number 216
_symmetry_space_group_name_Hall 'F -4 2 3'
loop_
_atom_site_label
_atom_site_type_symbol
_atom_site_fract_x
_atom_site_fract_y
_atom_site_fract_z
Pa1 Pa 0.000 0.000 0.000
N1 N 0.250 0.250 0.750
F1 F 0.250 0.250 0.250
# - uncorrected formation energy (meV/atom) = -2384
# - M_tot (μB per formula unit) = 1.007
# - VASP energy (eV/atom) = -8.948

(12)
# PaNF, relaxed, DFT PBE-GGA
data_PaNF
_chemical_formula_sum 'Pa4 N4 F4'
_cell_length_a 4.227
_cell_length_b 4.213
_cell_length_c 13.035
_cell_angle_alpha 90.00
_cell_angle_beta 91.26
_cell_angle_gamma 90.00
_symmetry_space_group_name_H-M 'P 1 21 1'
_symmetry_Int_Tables_number 4
_symmetry_space_group_name_Hall 'P 2yb'
loop_
_atom_site_label
_atom_site_type_symbol
_atom_site_fract_x
_atom_site_fract_y
_atom_site_fract_z
Pa1 Pa 0.007 0.000 0.395
Pa2 Pa 0.489 0.872 0.105
N1 N 0.003 0.001 0.568
N2 N 0.497 0.871 0.932
F1 F 0.006 0.355 0.807
F2 F 0.498 0.517 0.693
# - uncorrected formation energy (meV/atom) = -2314
# - M_tot (μB per formula unit) = 0.549
# - VASP energy (eV/atom) = -8.878